13
Lattice="4.4971 -3.2898 0.0000 4.4971 3.2898 0.0000 -3.1646 0.0000 6.6831" Properties=species:S:1:pos:R:3 comment="CaMn2F10 (PBE with a Hubbard U, optimized geometry)" total_magnetization_mub_per_cell=5.90 dft_energy_ev_per_atom=-5.2634 pbc="T T T"
Ca 0.0000 0.0000 0.0000
Mn 2.1059 0.2295 4.9843
Mn 3.7236 0.2295 1.6987
F 3.4544 2.0282 1.8122
F 2.3751 2.0282 4.8709
F 0.5247 0.4010 4.2136
F 2.0792 0.0430 0.8589
F 4.4971 0.7202 0.0000
F 2.9148 -0.2374 3.3415
F 5.3048 0.4010 2.4695
F 1.8037 -1.5511 5.2930
F 3.7503 0.0430 5.8242
F 4.0259 -1.5511 1.3900